Material: Sm5Co2Sb
Method: DFT, GGA-PBE
State: relaxed

Structure (extended XYZ):
```
16
Lattice="-3.903 3.903 6.722 3.903 -3.903 6.722 3.903 3.903 -6.722" Properties=species:S:1:pos:R:3 pbc="T T T"
Sm 0.000 0.000 0.000
Sm 5.136 1.233 -1.802
Sm 1.233 2.671 -1.802
Sm 5.136 1.233 1.802
Sm 1.233 2.671 1.802
Sm 0.000 0.000 6.722
Sm 2.671 1.233 4.921
Sm -1.233 2.671 4.921
Sm 2.671 1.233 8.524
Sm -1.233 2.671 8.524
Co 2.834 1.069 0.000
Co 2.834 -1.069 6.722
Co 1.069 4.973 0.000
Co 1.069 2.834 6.722
Sb 0.000 0.000 3.361
Sb 0.000 0.000 10.084
```

Total magnetization in μB per formula unit: 0.000
Density in g/cm3: 8.04
Uncorrected energy in eV/atom: -5.61
Formation energy without anion corrections in eV per atom: -0.371

=====

Material: Ce4Zn5Ga2
Method: DFT, GGA-PBE
State: relaxed

Structure (extended XYZ):
```
11
Lattice="7.243 0.000 0.000 0.000 3.338 0.000 -0.517 0.000 9.589" Properties=species:S:1:pos:R:3 pbc="T T T"
Ce 0.742 0.000 3.825
Ce 1.760 0.000 9.158
Ce 4.965 0.000 0.431
Ce 5.984 0.000 5.764
Zn 1.308 1.669 6.473
Zn 2.920 1.669 2.186
Zn 3.363 1.669 4.794
Zn 3.805 1.669 7.403
Zn 5.417 1.669 3.116
Ga 0.254 1.669 1.292
Ga 6.472 1.669 8.297
```

Total magnetization in μB per formula unit: 0.311
Density in g/cm3: 7.36
Energy relative to the elements in eV per atom: -0.255
Uncorrected energy in eV/atom: -3.54

=====

Material: TaCdHg2
Method: DFT, GGA-PBE
State: relaxed

Structure (extended XYZ):
```
4
Lattice="3.035 0.000 0.000 0.000 4.584 0.000 -1.486 0.000 5.960" Properties=species:S:1:pos:R:3 pbc="T T T"
Ta 0.000 0.000 0.000
Cd 1.518 2.292 1.629
Hg 0.004 0.000 2.944
Hg 0.034 2.292 4.753
```

Total magnetization in μB per formula unit: 0.000
Density in g/cm3: 13.91
Energy relative to the elements in eV per atom: 0.403
Uncorrected energy in eV/atom: -2.94

=====

Material: NiW2Au
Method: DFT, GGA-PBE
State: relaxed

Structure (extended XYZ):
```
16
Lattice="6.285 0.000 0.000 0.000 6.285 0.000 0.000 0.000 6.285" Properties=species:S:1:pos:R:3 pbc="T T T"
Ni 0.000 0.000 0.000
Ni 0.000 3.142 3.142
Ni 3.142 0.000 3.142
Ni 3.142 3.142 0.000
W 0.000 0.000 3.142
W 0.000 3.142 0.000
W 1.571 1.571 4.714
W 1.571 4.714 1.571
W 3.142 0.000 0.000
W 3.142 3.142 3.142
W 4.714 1.571 1.571
W 4.714 4.714 4.714
Au 1.571 1.571 1.571
Au 1.571 4.714 4.714
Au 4.714 1.571 4.714
Au 4.714 4.714 1.571
```

Total magnetization in μB per formula unit: 0.000
Density in g/cm3: 16.68
Energy relative to the elements in eV per atom: 0.456
Uncorrected energy in eV/atom: -8.29

=====

Material: BeIrI2
Method: DFT, GGA-PBE
State: relaxed

Structure (extended XYZ):
```
16
Lattice="6.936 0.000 0.000 0.000 6.936 0.000 0.000 0.000 6.936" Properties=species:S:1:pos:R:3 pbc="T T T"
Be 0.000 0.000 0.000
Be 0.000 3.468 3.468
Be 3.468 0.000 3.468
Be 3.468 3.468 0.000
Ir 0.000 0.000 3.468
Ir 0.000 3.468 0.000
Ir 3.468 0.000 0.000
Ir 3.468 3.468 3.468
I 1.734 1.734 1.734
I 1.734 1.734 5.202
I 1.734 5.202 1.734
I 1.734 5.202 5.202
I 5.202 1.734 1.734
I 5.202 1.734 5.202
I 5.202 5.202 1.734
I 5.202 5.202 5.202
```

Total magnetization in μB per formula unit: 0.778
Density in g/cm3: 9.06
Uncorrected energy in eV/atom: -2.65
Formation energy without anion corrections in eV per atom: 1.269

=====

Material: Cs2Tc2Ir
Method: DFT, GGA-PBE
State: relaxed

Structure (extended XYZ):
```
10
Lattice="3.445 0.000 0.000 0.000 3.445 0.000 0.000 0.000 24.517" Properties=species:S:1:pos:R:3 pbc="T T T"
Cs 0.000 0.000 2.501
Cs 0.000 0.000 22.016
Cs 1.722 1.722 9.758
Cs 1.722 1.722 14.759
Tc 0.000 1.722 6.129
Tc 0.000 1.722 18.388
Tc 1.722 0.000 6.129
Tc 1.722 0.000 18.388
Ir 0.000 0.000 12.258
Ir 1.722 1.722 0.000
```

Total magnetization in μB per formula unit: 0.628
Density in g/cm3: 7.47
Energy relative to the elements in eV per atom: 1.294
Uncorrected energy in eV/atom: -4.97

=====

Material: Cu2Pd3Au6
Method: DFT, GGA-PBE
State: relaxed

Structure (extended XYZ):
```
11
Lattice="5.008 0.000 0.000 -1.497 6.054 0.000 -0.802 -2.206 5.936" Properties=species:S:1:pos:R:3 pbc="T T T"
Cu 0.434 -0.202 1.328
Cu 2.275 4.050 4.609
Pd 0.485 2.295 0.268
Pd 1.354 1.924 2.968
Pd 2.224 1.553 5.669
Au -1.141 3.269 2.420
Au -0.299 2.775 5.148
Au 1.308 -0.660 4.053
Au 1.400 4.508 1.884
Au 3.007 1.073 0.789
Au 3.850 0.579 3.517
```

Total magnetization in μB per formula unit: 0.000
Density in g/cm3: 15.02
Energy relative to the elements in eV per atom: -0.076
Uncorrected energy in eV/atom: -4.02

=====

Material: Ac3Ir4Rh2
Method: DFT, GGA-PBE
State: relaxed

Structure (extended XYZ):
```
18
Lattice="4.364 0.000 0.000 -2.182 3.779 0.000 0.000 0.000 26.280" Properties=species:S:1:pos:R:3 pbc="T T T"
Ac 0.000 0.000 2.168
Ac 0.000 0.000 6.570
Ac 0.000 0.000 10.933
Ac 0.000 0.000 15.348
Ac 0.000 0.000 19.711
Ac 0.000 0.000 24.113
Ir 0.000 2.520 4.359
Ir 0.000 2.520 8.753
Ir 0.000 2.520 13.140
Ir 0.000 2.520 17.528
Ir 0.000 2.520 21.921
Ir 2.182 1.260 4.359
Ir 2.182 1.260 13.140
Ir 2.182 1.260 21.921
Rh 0.000 2.520 0.000
Rh 2.182 1.260 0.000
Rh 2.182 1.260 8.753
Rh 2.182 1.260 17.527
```

Total magnetization in μB per formula unit: 0.839
Density in g/cm3: 12.69
Energy relative to the elements in eV per atom: -0.479
Uncorrected energy in eV/atom: -7.42